[1]
{
  "formula": "ErAsPdO",
  "functional": "PBE",
  "state": "relaxed",
  "lattice": [[5.6859, 0.0000, 0.0000], [0.0000, 5.6859, 0.0000], [0.0000, 0.0000, 4.6163]],
  "species": ["As", "As", "Er", "Er", "O", "O", "Pd", "Pd"],
  "frac_coords": [[0.7500, 0.7500, 0.4937], [0.2500, 0.2500, 0.5063], [0.7500, 0.2500, 0.5000], [0.2500, 0.7500, 0.5000], [0.7500, 0.2500, 0.0000], [0.2500, 0.7500, 0.0000], [0.2500, 0.2500, 0.0060], [0.7500, 0.7500, 0.9940]],
  "total_magnetization_mub_per_cell": 0.0,
  "de_polymorph_mev_per_atom": 857.9,
  "dft_energy_ev_per_atom": -5.81
}



[2]
{
  "formula": "Ba2Co3",
  "functional": "PBE",
  "state": "relaxed",
  "lattice": [[6.7759, -0.6506, -2.7361], [-0.9555, 1.9964, 6.9945], [2.7039, -7.1076, -1.4494]],
  "species": ["Ba", "Ba", "Ba", "Ba", "Co", "Co", "Co", "Co", "Co", "Co"],
  "frac_coords": [[0.6009, 0.3991, 0.1973], [0.8991, 0.1009, 0.3027], [0.1009, 0.8991, 0.6973], [0.3991, 0.6009, 0.8027], [0.4234, 0.7500, 0.2500], [0.0766, 0.5766, 0.2500], [0.2500, 0.9234, 0.2500], [0.9234, 0.4234, 0.7500], [0.5766, 0.2500, 0.7500], [0.7500, 0.0766, 0.7500]],
  "total_magnetization_mub_per_cell": 10.0,
  "dft_energy_ev_per_atom": -4.23
}



[3]
{
  "formula": "ZrCoPbAu",
  "functional": "PBE",
  "state": "relaxed",
  "lattice": [[3.2062, -1.7513, 3.0188], [2.7527, 2.9376, 2.5006], [-0.6491, 0.4536, 4.6725]],
  "species": ["Au", "Co", "Pb", "Zr"],
  "frac_coords": [[0.7500, 0.7500, 0.7500], [0.0000, 0.0000, 0.0000], [0.5000, 0.5000, 0.5000], [0.2500, 0.2500, 0.2500]],
  "total_magnetization_mub_per_cell": 0.6,
  "de_polymorph_mev_per_atom": 160.1,
  "dft_energy_ev_per_atom": -5.47
}